! Si2B PBE-GGA relaxed; values from VASP
&SYSTEM
  ibrav = 0, nat = 6, ntyp = 2
/
ATOMIC_SPECIES
Si 28.09 Si.upf
B 10.81 B.upf
CELL_PARAMETERS angstrom
-2.891 1.595 1.273
-1.236 -4.997 -0.397
3.542 -0.502 3.943
ATOMIC_POSITIONS angstrom
Si 0.889 -1.500 2.950
Si -0.122 -4.278 1.283
Si -1.278 -0.894 2.260
Si -0.508 -3.822 4.462
B -0.813 -2.869 2.624
B 1.742 -0.575 4.485
! Symmetry = P1
! Uncorrected formation energy = 0.294 eV per atom
! Total DFT energy (no corrections) = -5.55 eV per atom

***

! Si2B PBE-GGA relaxed; values from VASP
&SYSTEM
  ibrav = 0, nat = 6, ntyp = 2
/
ATOMIC_SPECIES
Si 28.09 Si.upf
B 10.81 B.upf
CELL_PARAMETERS angstrom
-2.132 -0.963 -2.733
-0.255 -3.983 2.412
-3.570 3.273 2.431
ATOMIC_POSITIONS angstrom
Si -0.823 -2.687 1.910
Si -5.134 1.014 0.201
Si -3.293 -0.482 -0.005
Si -2.664 -1.191 2.116
B -4.075 -1.478 3.535
B -1.882 -0.195 -1.424
! Symmetry = P-1
! Uncorrected formation energy = 0.204 eV per atom
! Total DFT energy (no corrections) = -5.64 eV per atom

***

total DFT energy (no corrections) of number 2 (Si2B)? -5.64 eV per atom